An optimized crystal structure of NpH12Rh7. Source: Alexandria, functional PBE.

Results
VASP energy ... -310.50 eV for the cell shown
Total magnetic moment ... 0.5 μB per formula unit

abc: 9.7640 9.7640 8.1954
angles: 90.00 90.00 120.00
Space group R-3 (No. 148, hexagonal axes)
Symmetry-distinct sites (fractional):
1 Np 0.0000 0.0000 0.0000 [3 per cell]
2 H 0.0001 0.3823 0.5007 [18 per cell]
3 H 0.0847 0.1699 0.3630 [18 per cell]
4 Rh 0.0000 0.0000 0.5000 [3 per cell]
5 Rh 0.0970 0.1944 0.7627 [18 per cell]